The following is a DFT calculation (PBE+U) of a geometry-optimized Zn2FeCuO structure.

DFT total energy, eV per formula unit: -16.37

a b c (Å): 4.323 4.323 3.801
angles (deg): 90.00 90.00 90.00
Space group P4/mmm (No. 123)
Unique sites:
Zn (0.000, 0.500, 0.000) (multiplicity 2)
Fe (0.000, 0.000, 0.500) (multiplicity 1)
Cu (0.500, 0.500, 0.500) (multiplicity 1)
O (0.500, 0.500, 0.000) (multiplicity 1)